## Rb3MnNb2O8 (PBE with a Hubbard U)

Data for a relaxed Rb3MnNb2O8 crystal.

## Properties
Electronic total energy in eV for the cell shown: -98.10
Symmetry: P-3m1, No. 164
M_tot in μB per formula unit: 2.0
Crystal system: trigonal

Cell: 5.952 5.952 7.974 Å, 90.00 90.00 120.00°
Last column: magnetic moment on the atom in μB.
Sites, in units of the cell vectors:
Rb 0.000 0.000 0.000  0.00
O 0.159 0.318 0.357  0.00
O 0.318 0.159 0.643  0.00
Rb 0.667 0.333 0.289  0.00
O 0.841 0.682 0.643  0.00
Nb 0.333 0.667 0.281  -0.05
O 0.841 0.159 0.643  0.00
Rb 0.333 0.667 0.711  0.00
O 0.667 0.333 0.948  0.01
O 0.159 0.841 0.357  0.00
O 0.333 0.667 0.052  0.01
O 0.682 0.841 0.357  0.00
Nb 0.667 0.333 0.719  -0.05
Mn 0.000 0.000 0.500  2.01